(1)
## LaPmHo2Er (PBE-GGA)

Data for a relaxed LaPmHo2Er crystal.

Results
DOS(E_F) = 9.5 states/eV/cell
Space group = Pmmm
Mass density = 7.47 g/cm3
Spin magnetization = 0.00 μB/f.u.
Final energy = -4.392 eV per atom

abc: 3.5844 5.5941 8.6549
angles: 90.00 90.00 90.00
Last column: nearest neighbours and their distance in Å.
Element x y z (fractional)
La 0.0000 0.0000 0.0000  4 Pm 3.32, 2 La 3.58
Pm 0.5000 0.5000 0.0000  4 Ho 3.32, 4 La 3.32, 2 Pm 3.58
Ho 0.0000 0.5000 0.3228  1 Ho 3.07, 2 Pm 3.32
Ho 0.0000 0.5000 0.6772  1 Ho 3.07, 2 Pm 3.32
Er 0.5000 0.0000 0.5000  2 Er 3.58, 8 Ho 3.66

---

(2)
## KReN2O (PBE-GGA)

Data for a relaxed KReN2O crystal.

Results
DOS(E_F) = 0.9 states/eV/cell
Space group = P4/mmm
Mass density = 7.22 g/cm3
E_form (uncorrected) = -430.8 meV per atom
Spin magnetization = 0.01 μB/f.u.
Final energy = -7.462 eV per atom

abc: 3.9213 3.9213 4.0264
angles: 90.00 90.00 90.00
Last column: nearest neighbours and their distance in Å.
Element x y z (fractional)
K 0.0000 0.0000 0.0000  4 O 2.77, 8 N 2.81
Re 0.5000 0.5000 0.5000  4 N 1.96, 2 O 2.01
N 0.0000 0.5000 0.5000  2 Re 1.96
N 0.5000 0.0000 0.5000  2 Re 1.96
O 0.5000 0.5000 0.0000  2 Re 2.01

---

(3)
## Sc2PBr (PBE-GGA)

Data for a relaxed Sc2PBr crystal.

Results
DOS(E_F) = 6.1 states/eV/cell
Space group = F-43m
Mass density = 4.10 g/cm3
E_form (uncorrected) = -40.7 meV per atom
Spin magnetization = 1.92 μB/f.u.
Final energy = -4.977 eV per atom

abc: 4.8649 4.8649 4.8649
angles: 60.00 60.00 60.00
Last column: nearest neighbours and their distance in Å.
Element x y z (fractional)
Sc 0.0000 0.0000 0.0000  4 P 2.98, 4 Sc 2.98
Sc 0.2500 0.2500 0.2500  4 Br 2.98, 4 Sc 2.98
P 0.7500 0.7500 0.7500  4 Br 2.98, 4 Sc 2.98
Br 0.5000 0.5000 0.5000  4 Sc 2.98, 4 P 2.98

---

(4)
## AcMg2GaNi2 (PBE-GGA)

Data for a relaxed AcMg2GaNi2 crystal.

Results
DOS(E_F) = 3.8 states/eV/cell
Space group = I4/mmm
Mass density = 5.89 g/cm3
Spin magnetization = 0.00 μB/f.u.
Final energy = -3.785 eV per atom

abc: 6.3090 6.3090 6.3090
angles: 133.35 133.35 68.11
Last column: nearest neighbours and their distance in Å.
Element x y z (fractional)
Ac 0.0000 0.0000 0.0000  2 Ni 2.95
Mg 0.2500 0.7500 0.5000  4 Ni 2.52
Mg 0.7500 0.2500 0.5000  4 Ni 2.52
Ga 0.5000 0.5000 0.0000  2 Ni 2.28
Ni 0.2823 0.2823 0.0000  1 Ga 2.28, 4 Mg 2.52
Ni 0.7177 0.7177 0.0000  1 Ga 2.28, 4 Mg 2.52

---

(5)
## NaPPtO6 (PBE-GGA)

Data for a relaxed NaPPtO6 crystal.

Results
DOS(E_F) = 3.4 states/eV/cell
Space group = P-31c
Mass density = 5.26 g/cm3
E_form (uncorrected) = -1190.9 meV per atom
Spin magnetization = 2.02 μB/f.u.
Final energy = -5.915 eV per atom

abc: 4.9333 4.9333 10.3353
angles: 90.00 90.00 120.00
Last column: nearest neighbours and their distance in Å.
Element x y z (fractional)
Na 0.0000 0.0000 0.0000  6 O 2.42
Na 0.0000 0.0000 0.5000  6 O 2.42
P 0.3333 0.6667 0.2500  6 O 1.72
P 0.6667 0.3333 0.7500  6 O 1.72
Pt 0.3333 0.6667 0.7500  6 O 1.99
Pt 0.6667 0.3333 0.2500  6 O 1.99
O 0.0414 0.3853 0.1557  1 P 1.72
O 0.0414 0.6561 0.3443  1 P 1.72
O 0.3439 0.3853 0.3443  1 P 1.72
O 0.3439 0.9586 0.1557  1 P 1.72
O 0.3853 0.0414 0.6557  1 P 1.72
O 0.3853 0.3439 0.8443  1 P 1.72
O 0.6147 0.6561 0.1557  1 P 1.72
O 0.6147 0.9586 0.3443  1 P 1.72
O 0.6561 0.0414 0.8443  1 P 1.72
O 0.6561 0.6147 0.6557  1 P 1.72
O 0.9586 0.3439 0.6557  1 P 1.72
O 0.9586 0.6147 0.8443  1 P 1.72

---

(6)
## PuAlInHg (PBE-GGA)

Data for a relaxed PuAlInHg crystal.

Results
DOS(E_F) = 11.1 states/eV/cell
Space group = F-43m
Mass density = 10.34 g/cm3
Spin magnetization = 5.86 μB/f.u.
Final energy = -5.324 eV per atom

abc: 5.1069 5.1069 5.1069
angles: 60.00 60.00 60.00
Last column: nearest neighbours and their distance in Å.
Element x y z (fractional)
Pu 0.0000 0.0000 0.0000  4 Hg 3.13, 4 In 3.13
Al 0.5000 0.5000 0.5000  4 In 3.13, 4 Hg 3.13
In 0.7500 0.7500 0.7500  4 Al 3.13, 4 Pu 3.13
Hg 0.2500 0.2500 0.2500  4 Al 3.13, 4 Pu 3.13